No. 1
# GGA-PBE BeCu2Sn, optimized geometry
data_BeCu2Sn
_cell_length_a 4.289
_cell_length_b 4.289
_cell_length_c 4.289
_cell_angle_alpha 60.00
_cell_angle_beta 60.00
_cell_angle_gamma 60.00
_space_group_name_H-M_alt 'P 1'
_space_group_IT_number 1
loop_
_space_group_symop_operation_xyz
'x,y,z'
loop_
_atom_site_label
_atom_site_type_symbol
_atom_site_fract_x
_atom_site_fract_y
_atom_site_fract_z
Be1 Be 0.000 0.000 0.000
Cu1 Cu 0.500 0.500 0.500
Cu2 Cu 0.750 0.750 0.750
Sn1 Sn 0.250 0.250 0.250
# Space group = F-43m
# Relative energy among the computed polymorphs = 126 meV/atom
# Theoretical density = 7.6 g/cm3

No. 2
# GGA-PBE Be2GaPt, optimized geometry
data_Be2GaPt
_cell_length_a 4.100
_cell_length_b 4.100
_cell_length_c 4.100
_cell_angle_alpha 60.00
_cell_angle_beta 60.00
_cell_angle_gamma 60.00
_space_group_name_H-M_alt 'P 1'
_space_group_IT_number 1
loop_
_space_group_symop_operation_xyz
'x,y,z'
loop_
_atom_site_label
_atom_site_type_symbol
_atom_site_fract_x
_atom_site_fract_y
_atom_site_fract_z
Be1 Be 0.000 0.000 0.000
Be2 Be 0.250 0.250 0.250
Ga1 Ga 0.500 0.500 0.500
Pt1 Pt 0.750 0.750 0.750
# Space group = F-43m
# Raw total energy = -4.324 eV/atom
# Theoretical density = 9.6 g/cm3

No. 3
# GGA-PBE CsHgIr, optimized geometry
data_CsHgIr
_cell_length_a 5.208
_cell_length_b 5.208
_cell_length_c 5.208
_cell_angle_alpha 60.00
_cell_angle_beta 60.00
_cell_angle_gamma 60.00
_space_group_name_H-M_alt 'P 1'
_space_group_IT_number 1
loop_
_space_group_symop_operation_xyz
'x,y,z'
loop_
_atom_site_label
_atom_site_type_symbol
_atom_site_fract_x
_atom_site_fract_y
_atom_site_fract_z
Cs1 Cs 0.000 0.000 0.000
Hg1 Hg 0.250 0.250 0.250
Ir1 Ir 0.500 0.500 0.500
# Space group = F-43m
# Relative energy among the computed polymorphs = 254 meV/atom
# Theoretical density = 8.7 g/cm3

No. 4
# GGA-PBE Mg2HgB, optimized geometry
data_Mg2HgB
_cell_length_a 4.628
_cell_length_b 4.628
_cell_length_c 4.628
_cell_angle_alpha 60.00
_cell_angle_beta 60.00
_cell_angle_gamma 60.00
_space_group_name_H-M_alt 'P 1'
_space_group_IT_number 1
loop_
_space_group_symop_operation_xyz
'x,y,z'
loop_
_atom_site_label
_atom_site_type_symbol
_atom_site_fract_x
_atom_site_fract_y
_atom_site_fract_z
Mg1 Mg 0.000 0.000 0.000
Mg2 Mg 0.250 0.250 0.250
Hg1 Hg 0.750 0.750 0.750
B1 B 0.500 0.500 0.500
# Space group = F-43m
# Raw total energy = -1.782 eV/atom
# Theoretical density = 6.2 g/cm3

No. 5
# GGA-PBE Sm2Pt8N, optimized geometry
data_Sm2Pt8N
_cell_length_a 4.382
_cell_length_b 8.617
_cell_length_c 8.617
_cell_angle_alpha 143.18
_cell_angle_beta 90.00
_cell_angle_gamma 90.00
_space_group_name_H-M_alt 'P 1'
_space_group_IT_number 1
loop_
_space_group_symop_operation_xyz
'x,y,z'
loop_
_atom_site_label
_atom_site_type_symbol
_atom_site_fract_x
_atom_site_fract_y
_atom_site_fract_z
Sm1 Sm 0.000 0.123 0.877
Sm2 Sm 0.000 0.877 0.123
Pt1 Pt 0.000 0.298 0.691
Pt2 Pt 0.000 0.562 0.562
Pt3 Pt 0.000 0.691 0.298
Pt4 Pt 0.500 0.364 0.565
Pt5 Pt 0.500 0.506 0.992
Pt6 Pt 0.500 0.565 0.364
Pt7 Pt 0.500 0.886 0.886
Pt8 Pt 0.500 0.992 0.506
N1 N 0.500 0.245 0.245
# Space group = Amm2
# Raw total energy = -6.577 eV/atom
# Theoretical density = 16.0 g/cm3

No. 6
# GGA-PBE CoSb2Pt, optimized geometry
data_CoSb2Pt
_cell_length_a 4.785
_cell_length_b 4.785
_cell_length_c 4.785
_cell_angle_alpha 60.00
_cell_angle_beta 60.00
_cell_angle_gamma 60.00
_space_group_name_H-M_alt 'P 1'
_space_group_IT_number 1
loop_
_space_group_symop_operation_xyz
'x,y,z'
loop_
_atom_site_label
_atom_site_type_symbol
_atom_site_fract_x
_atom_site_fract_y
_atom_site_fract_z
Co1 Co 0.000 0.000 0.000
Sb1 Sb 0.250 0.250 0.250
Sb2 Sb 0.500 0.500 0.500
Pt1 Pt 0.750 0.750 0.750
# Space group = F-43m
# Relative energy among the computed polymorphs = 364 meV/atom
# Theoretical density = 10.7 g/cm3